1.
# Te2AsCl, optimized geometry, DFT PBE
data_Te2AsCl
_chemical_formula_sum 'Te2 As1 Cl1'
_cell_length_a 3.261
_cell_length_b 3.261
_cell_length_c 11.334
_cell_angle_alpha 90.00
_cell_angle_beta 90.00
_cell_angle_gamma 110.14
_symmetry_space_group_name_H-M 'P 1'
_symmetry_Int_Tables_number 1
loop_
_symmetry_equiv_pos_as_xyz
'x,y,z'
loop_
_atom_site_label
_atom_site_type_symbol
_atom_site_fract_x
_atom_site_fract_y
_atom_site_fract_z
_atom_site_occupancy
Te1 Te 0.000 0.000 0.000 1
Te2 Te 0.500 0.500 0.300 1
As1 As 0.500 0.500 0.810 1
Cl1 Cl 0.000 0.000 0.648 1
# uncorrected formation energy	0.174	eV/atom
# energy relative to the lowest polymorph listed for this composition	0.316	eV per atom
# total energy	-12.085	eV/cell
# SG	Cmm2
# DOS(E_F)	1.74	states/eV per cell

2.
# Te2AsCl, optimized geometry, DFT PBE
data_Te2AsCl
_chemical_formula_sum 'Te2 As1 Cl1'
_cell_length_a 5.154
_cell_length_b 5.154
_cell_length_c 5.154
_cell_angle_alpha 119.58
_cell_angle_beta 119.58
_cell_angle_gamma 90.73
_symmetry_space_group_name_H-M 'P 1'
_symmetry_Int_Tables_number 1
loop_
_symmetry_equiv_pos_as_xyz
'x,y,z'
loop_
_atom_site_label
_atom_site_type_symbol
_atom_site_fract_x
_atom_site_fract_y
_atom_site_fract_z
_atom_site_occupancy
Te1 Te 0.000 0.000 0.000 1
Te2 Te 0.750 0.250 0.500 1
As1 As 0.250 0.750 0.500 1
Cl1 Cl 0.500 0.500 0.000 1
# uncorrected formation energy	0.313	eV/atom
# energy relative to the lowest polymorph listed for this composition	0.455	eV per atom
# total energy	-11.529	eV/cell
# SG	I-4m2
# DOS(E_F)	3.59	states/eV per cell

3.
# TeAs3Cl, optimized geometry, DFT PBE
data_TeAs3Cl
_chemical_formula_sum 'Te1 As3 Cl1'
_cell_length_a 5.360
_cell_length_b 5.360
_cell_length_c 5.360
_cell_angle_alpha 90.00
_cell_angle_beta 90.00
_cell_angle_gamma 90.00
_symmetry_space_group_name_H-M 'P 1'
_symmetry_Int_Tables_number 1
loop_
_symmetry_equiv_pos_as_xyz
'x,y,z'
loop_
_atom_site_label
_atom_site_type_symbol
_atom_site_fract_x
_atom_site_fract_y
_atom_site_fract_z
_atom_site_occupancy
Te1 Te 0.000 0.000 0.000 1
As1 As 0.000 0.000 0.500 1
As2 As 0.000 0.500 0.000 1
As3 As 0.500 0.000 0.000 1
Cl1 Cl 0.500 0.500 0.500 1
# uncorrected formation energy	1.003	eV/atom
# energy relative to the lowest polymorph listed for this composition	0.000	eV per atom
# total energy	-13.921	eV/cell
# SG	Pm-3m
# DOS(E_F)	3.56	states/eV per cell

4.
# TeAsCl2, optimized geometry, DFT PBE
data_TeAsCl2
_chemical_formula_sum 'Te2 As2 Cl4'
_cell_length_a 10.078
_cell_length_b 10.078
_cell_length_c 10.078
_cell_angle_alpha 154.43
_cell_angle_beta 154.43
_cell_angle_gamma 36.48
_symmetry_space_group_name_H-M 'P 1'
_symmetry_Int_Tables_number 1
loop_
_symmetry_equiv_pos_as_xyz
'x,y,z'
loop_
_atom_site_label
_atom_site_type_symbol
_atom_site_fract_x
_atom_site_fract_y
_atom_site_fract_z
_atom_site_occupancy
Te1 Te 0.000 0.000 0.000 1
Te2 Te 0.750 0.250 0.500 1
As1 As 0.250 0.750 0.500 1
As2 As 0.500 0.500 0.000 1
Cl1 Cl 0.132 0.625 0.007 1
Cl2 Cl 0.375 0.382 0.507 1
Cl3 Cl 0.618 0.125 0.993 1
Cl4 Cl 0.875 0.868 0.493 1
# uncorrected formation energy	0.102	eV/atom
# energy relative to the lowest polymorph listed for this composition	0.509	eV per atom
# total energy	-22.155	eV/cell
# SG	I-42d
# DOS(E_F)	3.82	states/eV per cell

5.
# TeAsCl2, optimized geometry, DFT PBE
data_TeAsCl2
_chemical_formula_sum 'Te1 As1 Cl2'
_cell_length_a 5.695
_cell_length_b 5.695
_cell_length_c 4.472
_cell_angle_alpha 112.85
_cell_angle_beta 112.85
_cell_angle_gamma 112.61
_symmetry_space_group_name_H-M 'P 1'
_symmetry_Int_Tables_number 1
loop_
_symmetry_equiv_pos_as_xyz
'x,y,z'
loop_
_atom_site_label
_atom_site_type_symbol
_atom_site_fract_x
_atom_site_fract_y
_atom_site_fract_z
_atom_site_occupancy
Te1 Te 0.000 0.000 0.000 1
As1 As 0.500 0.500 0.000 1
Cl1 Cl 0.000 0.500 0.500 1
Cl2 Cl 0.500 0.000 0.500 1
# uncorrected formation energy	0.113	eV/atom
# energy relative to the lowest polymorph listed for this composition	0.520	eV per atom
# total energy	-11.034	eV/cell
# SG	C2/m
# DOS(E_F)	2.10	states/eV per cell

6.
# TeAsCl4, optimized geometry, DFT PBE
data_TeAsCl4
_chemical_formula_sum 'Te1 As1 Cl4'
_cell_length_a 5.797
_cell_length_b 5.797
_cell_length_c 5.797
_cell_angle_alpha 60.00
_cell_angle_beta 60.00
_cell_angle_gamma 60.00
_symmetry_space_group_name_H-M 'P 1'
_symmetry_Int_Tables_number 1
loop_
_symmetry_equiv_pos_as_xyz
'x,y,z'
loop_
_atom_site_label
_atom_site_type_symbol
_atom_site_fract_x
_atom_site_fract_y
_atom_site_fract_z
_atom_site_occupancy
Te1 Te 0.000 0.000 0.000 1
As1 As 0.750 0.750 0.750 1
Cl1 Cl 0.375 0.375 0.375 1
Cl2 Cl 0.375 0.375 0.874 1
Cl3 Cl 0.375 0.874 0.375 1
Cl4 Cl 0.874 0.375 0.375 1
# uncorrected formation energy	0.821	eV/atom
# total energy	-10.253	eV/cell
# SG	F-43m
# DOS(E_F)	6.67	states/eV per cell

7.
# Te2AsCl, optimized geometry, DFT PBE
data_Te2AsCl
_chemical_formula_sum 'Te2 As1 Cl1'
_cell_length_a 5.875
_cell_length_b 5.875
_cell_length_c 3.160
_cell_angle_alpha 90.37
_cell_angle_beta 90.37
_cell_angle_gamma 89.72
_symmetry_space_group_name_H-M 'P 1'
_symmetry_Int_Tables_number 1
loop_
_symmetry_equiv_pos_as_xyz
'x,y,z'
loop_
_atom_site_label
_atom_site_type_symbol
_atom_site_fract_x
_atom_site_fract_y
_atom_site_fract_z
_atom_site_occupancy
Te1 Te 0.000 0.500 0.000 1
Te2 Te 0.500 0.000 0.000 1
As1 As 0.000 0.000 0.000 1
Cl1 Cl 0.500 0.500 0.000 1
# uncorrected formation energy	0.117	eV/atom
# energy relative to the lowest polymorph listed for this composition	0.259	eV per atom
# total energy	-12.313	eV/cell
# SG	C2/m
# DOS(E_F)	2.98	states/eV per cell

8.
# TeAsCl2, optimized geometry, DFT PBE
data_TeAsCl2
_chemical_formula_sum 'Te1 As1 Cl2'
_cell_length_a 10.512
_cell_length_b 10.512
_cell_length_c 10.512
_cell_angle_alpha 18.14
_cell_angle_beta 18.14
_cell_angle_gamma 18.14
_symmetry_space_group_name_H-M 'P 1'
_symmetry_Int_Tables_number 1
loop_
_symmetry_equiv_pos_as_xyz
'x,y,z'
loop_
_atom_site_label
_atom_site_type_symbol
_atom_site_fract_x
_atom_site_fract_y
_atom_site_fract_z
_atom_site_occupancy
Te1 Te 0.000 0.000 0.000 1
As1 As 0.500 0.500 0.500 1
Cl1 Cl 0.229 0.229 0.229 1
Cl2 Cl 0.771 0.771 0.771 1
# uncorrected formation energy	0.151	eV/atom
# energy relative to the lowest polymorph listed for this composition	0.558	eV per atom
# total energy	-10.881	eV/cell
# SG	R-3m
# DOS(E_F)	3.18	states/eV per cell

9.
# TeAsCl2, optimized geometry, DFT PBE
data_TeAsCl2
_chemical_formula_sum 'Te1 As1 Cl2'
_cell_length_a 3.380
_cell_length_b 3.380
_cell_length_c 12.195
_cell_angle_alpha 90.00
_cell_angle_beta 90.00
_cell_angle_gamma 120.98
_symmetry_space_group_name_H-M 'P 1'
_symmetry_Int_Tables_number 1
loop_
_symmetry_equiv_pos_as_xyz
'x,y,z'
loop_
_atom_site_label
_atom_site_type_symbol
_atom_site_fract_x
_atom_site_fract_y
_atom_site_fract_z
_atom_site_occupancy
Te1 Te 0.000 0.000 0.000 1
As1 As 0.000 0.000 0.500 1
Cl1 Cl 0.500 0.500 0.346 1
Cl2 Cl 0.500 0.500 0.654 1
# uncorrected formation energy	-0.009	eV/atom
# energy relative to the lowest polymorph listed for this composition	0.398	eV per atom
# total energy	-11.522	eV/cell
# SG	Cmmm
# DOS(E_F)	3.66	states/eV per cell

10.
# TeAsCl2, optimized geometry, DFT PBE
data_TeAsCl2
_chemical_formula_sum 'Te1 As1 Cl2'
_cell_length_a 3.407
_cell_length_b 3.407
_cell_length_c 9.752
_cell_angle_alpha 90.00
_cell_angle_beta 90.00
_cell_angle_gamma 116.50
_symmetry_space_group_name_H-M 'P 1'
_symmetry_Int_Tables_number 1
loop_
_symmetry_equiv_pos_as_xyz
'x,y,z'
loop_
_atom_site_label
_atom_site_type_symbol
_atom_site_fract_x
_atom_site_fract_y
_atom_site_fract_z
_atom_site_occupancy
Te1 Te 0.000 0.000 0.000 1
As1 As 0.500 0.500 0.232 1
Cl1 Cl 0.000 0.000 0.426 1
Cl2 Cl 0.500 0.500 0.775 1
# uncorrected formation energy	0.127	eV/atom
# energy relative to the lowest polymorph listed for this composition	0.534	eV per atom
# total energy	-10.977	eV/cell
# SG	Cmm2
# DOS(E_F)	2.71	states/eV per cell

Q: The lowest DOS(E_F) belongs to which entry?
A: number 1